Entry 1:
Computed, not measured: a relaxed CaCd4Ge2 crystal at the PBE level of DFT.

Cell lengths 8.6057, 8.6057, 4.3811 Å; angles 90.00, 90.00, 150.20 degrees
Last column: nearest neighbours and their distance in Å.
Atoms (fractional coordinates):
Ca 0.0000 0.0000 0.0000  8 Ge 3.36, 4 Cd 3.71
Cd 0.1801 0.8199 0.5000  2 Ge 2.81, 6 Cd 3.12-3.13
Cd 0.3144 0.6856 0.0000  2 Ge 2.85, 8 Cd 3.08-3.13
Cd 0.6856 0.3144 0.0000  2 Ge 2.85, 8 Cd 3.08-3.13
Cd 0.8199 0.1801 0.5000  2 Ge 2.81, 6 Cd 3.12-3.13
Ge 0.4243 0.5757 0.5000  1 Ge 2.52, 2 Cd 2.81
Ge 0.5757 0.4243 0.5000  1 Ge 2.52, 2 Cd 2.81

Formation energy from the elements = -0.18 eV per atom
Space group = Cmmm (65)

=====

Entry 2:
Computed, not measured: a relaxed RbAgSnSb2 crystal at the PBE level of DFT.

Cell lengths 7.3228, 7.3228, 7.3228 Å; angles 139.62, 139.62, 58.42 degrees
Last column: nearest neighbours and their distance in Å.
Atoms (fractional coordinates):
Rb 0.0000 0.0000 0.0000  8 Sb 3.91, 4 Sn 4.07, 4 Ag 4.07
Ag 0.7500 0.2500 0.5000  4 Sb 3.00
Sn 0.2500 0.7500 0.5000  4 Sb 3.00
Sb 0.3764 0.3764 0.0000  2 Sn 3.00, 2 Ag 3.00, 1 Sb 3.16
Sb 0.6236 0.6236 0.0000  2 Sn 3.00, 2 Ag 3.00, 1 Sb 3.16

Formation energy from raw total energies = -0.16 eV/atom
Space group = I-4m2 (119)

=====

Number 1: DOS(E_F) 1.66 states/eV/f.u.. Number 2: DOS(E_F) 0.90 states/eV/f.u..